DFT (PBE) results for a relaxed Na4B5C3 crystal.

Cell: 8.5259 2.8085 10.1304 Å, 90.00 90.00 90.00°
Space group Pmma (No. 51)
Inequivalent atoms, fractional coordinates:
Na 0.0000 0.0000 0.0000 x2
Na 0.0000 0.0000 0.5000 x2
Na 0.0027 0.5000 0.2486 x4
B 0.2500 0.0000 0.1619 x2
B 0.2500 0.0000 0.6866 x2
B 0.2500 0.5000 0.4024 x2
B 0.2500 0.5000 0.5755 x2
B 0.2500 0.5000 0.9226 x2
C 0.2500 0.0000 0.3220 x2
C 0.2500 0.0000 0.8409 x2
C 0.2500 0.5000 0.0814 x2

Its formation energy is 61 meV per atom. As for the volume: 10.11 Å³/atom. Its uncorrected energy is -5.467 eV/atom. Its excess energy over the best structure of this formula in the dataset is 0.0 meV per atom.

DFT (PBE) results for a relaxed Na8B15C crystal.

Cell: 3.0047 3.0047 34.5112 Å, 90.00 90.00 120.00°
Space group P-6m2 (No. 187)
Inequivalent atoms, fractional coordinates:
Na 0.0000 0.0000 0.0611 x2
Na 0.0000 0.0000 0.1862 x2
Na 0.0000 0.0000 0.3119 x2
Na 0.0000 0.0000 0.4373 x2
B 0.3333 0.6667 0.0000 x1
B 0.3333 0.6667 0.1237 x2
B 0.3333 0.6667 0.2491 x2
B 0.3333 0.6667 0.3745 x2
B 0.3333 0.6667 0.5000 x1
B 0.6667 0.3333 0.1237 x2
B 0.6667 0.3333 0.2491 x2
B 0.6667 0.3333 0.3745 x2
B 0.6667 0.3333 0.5000 x1
C 0.6667 0.3333 0.0000 x1

Its formation energy is 291 meV per atom. As for the volume: 11.24 Å³/atom. Its uncorrected energy is -4.706 eV/atom. Its excess energy over the best structure of this formula in the dataset is 22.3 meV per atom.

DFT (PBE) results for a relaxed Na2B3C crystal.

Cell: 23.1321 2.8458 10.0371 Å, 90.00 106.63 90.00°
Space group Cm (No. 8)
Inequivalent atoms, fractional coordinates:
Na 0.0000 0.0000 0.0000 x2
Na 0.9997 0.5000 0.4953 x2
Na 0.1004 0.5000 0.1959 x2
Na 0.1018 0.0000 0.6941 x2
Na 0.1991 0.0000 0.3976 x2
Na 0.2002 0.5000 0.8971 x2
Na 0.2994 0.5000 0.5965 x2
Na 0.3008 0.0000 0.0954 x2
Na 0.3993 0.0000 0.7996 x2
Na 0.3993 0.5000 0.2956 x2
B 0.0247 0.5000 0.7967 x2
B 0.0768 0.0000 0.3993 x2
B 0.1152 0.0000 0.9771 x2
B 0.1171 0.5000 0.4802 x2
B 0.1819 0.0000 0.1097 x2
B 0.1860 0.5000 0.6178 x2
B 0.2205 0.5000 0.1871 x2
B 0.2795 0.0000 0.8063 x2
B 0.3116 0.0000 0.3701 x2
B 0.3193 0.5000 0.8863 x2
B 0.3779 0.0000 0.5019 x2
B 0.3887 0.5000 0.0251 x2
B 0.4190 0.5000 0.5852 x2
B 0.4833 0.0000 0.2133 x2
B 0.4828 0.5000 0.7134 x2
C 0.0148 0.0000 0.2752 x2
C 0.0842 0.5000 0.9156 x2
C 0.2174 0.0000 0.6810 x2
C 0.2815 0.5000 0.3096 x2
C 0.4196 0.0000 0.0869 x2

Its formation energy is 155 meV per atom. As for the volume: 10.55 Å³/atom. Its uncorrected energy is -5.160 eV/atom. Its excess energy over the best structure of this formula in the dataset is 22.0 meV per atom.

DFT (PBE) results for a relaxed Na5B8C2 crystal.

Cell: 8.6589 2.8265 26.3396 Å, 90.00 90.00 90.00°
Space group Amm2 (No. 38)
Inequivalent atoms, fractional coordinates:
Na 0.2474 0.0000 0.0000 x4
Na 0.2487 0.0000 0.4001 x4
Na 0.2497 0.0000 0.6018 x4
Na 0.2502 0.0000 0.8018 x4
Na 0.2528 0.0000 0.2026 x4
B 0.0000 0.0000 0.0736 x2
B 0.0000 0.0000 0.1363 x2
B 0.0000 0.0000 0.2636 x2
B 0.0000 0.0000 0.3291 x2
B 0.0000 0.0000 0.4696 x2
B 0.0000 0.0000 0.5326 x2
B 0.0000 0.0000 0.6756 x2
B 0.0000 0.0000 0.8660 x2
B 0.0000 0.0000 0.9305 x2
B 0.5000 0.0000 0.0664 x2
B 0.5000 0.0000 0.1314 x2
B 0.5000 0.0000 0.3377 x2
B 0.5000 0.0000 0.5225 x2
B 0.5000 0.0000 0.6747 x2
B 0.5000 0.0000 0.7434 x2
B 0.5000 0.0000 0.9309 x2
C 0.0000 0.0000 0.7346 x2
C 0.5000 0.0000 0.2745 x2
C 0.5000 0.0000 0.4629 x2
C 0.5000 0.0000 0.8689 x2

Its formation energy is 187 meV per atom. As for the volume: 10.74 Å³/atom. Its uncorrected energy is -5.044 eV/atom. Its excess energy over the best structure of this formula in the dataset is 16.6 meV per atom.

DFT (PBE) results for a relaxed NaBC crystal.

Cell: 2.8190 2.8190 4.2064 Å, 90.00 90.00 120.00°
Space group P-6m2 (No. 187)
Inequivalent atoms, fractional coordinates:
Na 0.0000 0.0000 0.0000 x1
B 0.3333 0.6667 0.5000 x1
C 0.6667 0.3333 0.5000 x1

Its formation energy is -11 meV per atom. As for the volume: 9.65 Å³/atom. Its uncorrected energy is -5.751 eV/atom.

DFT (PBE) results for a relaxed Na5B8C2 crystal.

Cell: 8.6174 2.8459 26.2730 Å, 90.00 90.00 90.00°
Space group Amm2 (No. 38)
Inequivalent atoms, fractional coordinates:
Na 0.2460 0.0000 0.0000 x4
Na 0.2463 0.0000 0.4002 x4
Na 0.2465 0.0000 0.6004 x4
Na 0.2489 0.0000 0.2010 x4
Na 0.2503 0.0000 0.8010 x4
B 0.0000 0.0000 0.0642 x2
B 0.0000 0.0000 0.1342 x2
B 0.0000 0.0000 0.2669 x2
B 0.0000 0.0000 0.4704 x2
B 0.0000 0.0000 0.6740 x2
B 0.0000 0.0000 0.8608 x2
B 0.0000 0.0000 0.9312 x2
B 0.5000 0.0000 0.0654 x2
B 0.5000 0.0000 0.1283 x2
B 0.5000 0.0000 0.2712 x2
B 0.5000 0.0000 0.3360 x2
B 0.5000 0.0000 0.5261 x2
B 0.5000 0.0000 0.6693 x2
B 0.5000 0.0000 0.7323 x2
B 0.5000 0.0000 0.8724 x2
B 0.5000 0.0000 0.9383 x2
C 0.0000 0.0000 0.3303 x2
C 0.0000 0.0000 0.5331 x2
C 0.0000 0.0000 0.7358 x2
C 0.5000 0.0000 0.4670 x2

Its formation energy is 190 meV per atom. As for the volume: 10.74 Å³/atom. Its uncorrected energy is -5.041 eV/atom. Its excess energy over the best structure of this formula in the dataset is 19.3 meV per atom.

DFT (PBE) results for a relaxed Na2B3C crystal.

Cell: 18.0269 2.8170 13.5503 Å, 90.00 112.88 90.00°
Space group Cm (No. 8)
Inequivalent atoms, fractional coordinates:
Na 0.0000 0.0000 0.0000 x2
Na 0.9997 0.0000 0.4935 x2
Na 0.1019 0.5000 0.1963 x2
Na 0.1016 0.5000 0.6978 x2
Na 0.2012 0.0000 0.3941 x2
Na 0.2035 0.0000 0.9005 x2
Na 0.3010 0.5000 0.0984 x2
Na 0.3010 0.5000 0.5961 x2
Na 0.3990 0.0000 0.2945 x2
Na 0.4005 0.0000 0.7990 x2
B 0.0243 0.0000 0.2924 x2
B 0.0344 0.0000 0.8164 x2
B 0.0658 0.5000 0.3744 x2
B 0.0782 0.5000 0.9041 x2
B 0.1292 0.5000 0.5009 x2
B 0.1710 0.0000 0.0875 x2
B 0.1720 0.0000 0.5869 x2
B 0.2350 0.0000 0.7155 x2
B 0.2656 0.5000 0.2740 x2
B 0.2747 0.5000 0.7967 x2
B 0.3408 0.5000 0.9299 x2
B 0.3598 0.0000 0.4624 x2
B 0.4272 0.0000 0.5984 x2
B 0.4329 0.0000 0.1127 x2
B 0.4707 0.5000 0.6872 x2
C 0.1383 0.5000 0.0236 x2
C 0.2341 0.0000 0.2111 x2
C 0.3287 0.5000 0.3995 x2
C 0.3708 0.0000 0.9905 x2
C 0.4642 0.5000 0.1740 x2

Its formation energy is 149 meV per atom. As for the volume: 10.57 Å³/atom. Its uncorrected energy is -5.167 eV/atom. Its excess energy over the best structure of this formula in the dataset is 15.3 meV per atom.

DFT (PBE) results for a relaxed Na3B5C crystal.

Cell: 5.1195 5.1195 25.8244 Å, 90.00 90.00 120.00°
Space group R32 (No. 155, hexagonal axes)
Inequivalent atoms, fractional coordinates:
Na 0.0001 0.3345 0.0819 x18
B 0.0000 0.0000 0.0000 x3
B 0.0000 0.0000 0.1665 x6
B 0.0000 0.0000 0.5000 x3
B 0.0000 0.6512 0.0000 x9
B 0.0002 0.6667 0.1667 x9
C 0.0000 0.0000 0.3333 x6

Its formation energy is 241 meV per atom. As for the volume: 10.85 Å³/atom. Its uncorrected energy is -4.934 eV/atom. Its excess energy over the best structure of this formula in the dataset is 49.1 meV per atom.

> Which value of uncorrected energy does entry 5 give?

-5.751 eV/atom